(1)
# Y2Tl2Pb, optimized geometry, DFT PBE
# Calculated volume, Å³ per atom: 29.96
# N(E_F), states/eV/f.u.: 4.82
# Crystal system: tetragonal
# Total DFT energy (no corrections), Ha/atom: -0.165
data_Y2Tl2Pb
_cell_length_a 8.337
_cell_length_b 8.337
_cell_length_c 4.310
_cell_angle_alpha 90.00
_cell_angle_beta 90.00
_cell_angle_gamma 90.00
_space_group_name_H-M_alt 'P 4/m b m'
_space_group_IT_number 127
_space_group_name_Hall '-P 4 2ab'
loop_
_atom_site_label
_atom_site_type_symbol
_atom_site_fract_x
_atom_site_fract_y
_atom_site_fract_z
_atom_site_occupancy
Y1 Y 0.159 0.341 0.000 1
Tl1 Tl 0.144 0.644 0.500 1
Pb1 Pb 0.000 0.000 0.000 1

(2)
# YTlPb2, optimized geometry, DFT PBE
# Calculated volume, Å³ per atom: 30.83
# N(E_F), states/eV/f.u.: 2.41
# Crystal system: trigonal
# Total DFT energy (no corrections), Ha/atom: -0.154
data_YTlPb2
_cell_length_a 3.6824
_cell_length_b 3.6824
_cell_length_c 31.4985
_cell_angle_alpha 90.00
_cell_angle_beta 90.00
_cell_angle_gamma 120.00
_space_group_name_H-M_alt 'R -3 m'
_space_group_IT_number 166
_space_group_name_Hall '-R 3 2"'
loop_
_atom_site_label
_atom_site_type_symbol
_atom_site_fract_x
_atom_site_fract_y
_atom_site_fract_z
_atom_site_occupancy
Y1 Y 0.0000 0.0000 0.0000 1
Tl1 Tl 0.0000 0.0000 0.5000 1
Pb1 Pb 0.0000 0.0000 0.2514 1

(3)
# Y6Tl5Pb, optimized geometry, DFT PBE
# Calculated volume, Å³ per atom: 27.62
# N(E_F), states/eV/f.u.: 6.95
# Crystal system: monoclinic
# Total DFT energy (no corrections), Ha/atom: -0.180
data_Y6Tl5Pb
_cell_length_a 9.305
_cell_length_b 16.190
_cell_length_c 5.395
_cell_angle_alpha 90.00
_cell_angle_beta 125.37
_cell_angle_gamma 90.00
_space_group_name_H-M_alt 'C 1 2/m 1'
_space_group_IT_number 12
loop_
_space_group_symop_operation_xyz
'x,y,z'
'-x,-y,-z'
'-x,y,-z'
'x,-y,z'
'x+1/2,y+1/2,z'
'-x+1/2,-y+1/2,-z'
'-x+1/2,y+1/2,-z'
'x+1/2,-y+1/2,z'
loop_
_atom_site_label
_atom_site_type_symbol
_atom_site_fract_x
_atom_site_fract_y
_atom_site_fract_z
_atom_site_occupancy
Y1 Y 0.250 0.000 0.250 1
Y2 Y 0.250 0.167 0.750 1
Tl1 Tl 0.000 0.000 0.500 1
Tl2 Tl 0.000 0.166 0.000 1
Tl3 Tl 0.000 0.330 0.500 1
Pb1 Pb 0.000 0.500 0.000 1

(4)
# YTlPb2, optimized geometry, DFT PBE
# Calculated volume, Å³ per atom: 28.63
# N(E_F), states/eV/f.u.: 2.12
# Crystal system: tetragonal
# Total DFT energy (no corrections), Ha/atom: -0.158
data_YTlPb2
_cell_length_a 4.654
_cell_length_b 4.654
_cell_length_c 10.573
_cell_angle_alpha 90.00
_cell_angle_beta 90.00
_cell_angle_gamma 90.00
_space_group_name_H-M_alt 'I -4 m 2'
_space_group_IT_number 119
_space_group_name_Hall 'I -4 -2'
loop_
_atom_site_label
_atom_site_type_symbol
_atom_site_fract_x
_atom_site_fract_y
_atom_site_fract_z
_atom_site_occupancy
Y1 Y 0.000 0.000 0.000 1
Tl1 Tl 0.000 0.500 0.250 1
Pb1 Pb 0.000 0.000 0.500 1
Pb2 Pb 0.000 0.500 0.750 1

(5)
# Y5TlPb6, optimized geometry, DFT PBE
# Calculated volume, Å³ per atom: 28.52
# N(E_F), states/eV/f.u.: 10.67
# Crystal system: monoclinic
# Total DFT energy (no corrections), Ha/atom: -0.189
data_Y5TlPb6
_cell_length_a 5.788
_cell_length_b 7.069
_cell_length_c 8.397
_cell_angle_alpha 90.00
_cell_angle_beta 95.07
_cell_angle_gamma 90.00
_space_group_name_H-M_alt 'P 1 2/m 1'
_space_group_IT_number 10
loop_
_space_group_symop_operation_xyz
'x,y,z'
'-x,-y,-z'
'-x,y,-z'
'x,-y,z'
loop_
_atom_site_label
_atom_site_type_symbol
_atom_site_fract_x
_atom_site_fract_y
_atom_site_fract_z
_atom_site_occupancy
Y1 Y 0.000 0.000 0.000 1
Y2 Y 0.315 0.500 0.681 1
Y3 Y 0.342 0.000 0.675 1
Tl1 Tl 0.000 0.500 0.000 1
Pb1 Pb 0.169 0.246 0.340 1
Pb2 Pb 0.500 0.246 0.000 1

(6)
# YTlPb2, optimized geometry, DFT PBE
# Calculated volume, Å³ per atom: 29.62
# N(E_F), states/eV/f.u.: 1.81
# Crystal system: monoclinic
# Total DFT energy (no corrections), Ha/atom: -0.158
data_YTlPb2
_cell_length_a 3.655
_cell_length_b 4.799
_cell_length_c 6.755
_cell_angle_alpha 90.00
_cell_angle_beta 90.48
_cell_angle_gamma 90.00
_space_group_name_H-M_alt 'P 1 2/m 1'
_space_group_IT_number 10
loop_
_space_group_symop_operation_xyz
'x,y,z'
'-x,-y,-z'
'-x,y,-z'
'x,-y,z'
loop_
_atom_site_label
_atom_site_type_symbol
_atom_site_fract_x
_atom_site_fract_y
_atom_site_fract_z
_atom_site_occupancy
Y1 Y 0.000 0.000 0.000 1
Tl1 Tl 0.000 0.000 0.500 1
Pb1 Pb 0.493 0.500 0.238 1

(7)
# Y2TlPb4, optimized geometry, DFT PBE
# Calculated volume, Å³ per atom: 30.82
# N(E_F), states/eV/f.u.: 4.79
# Crystal system: monoclinic
# Total DFT energy (no corrections), Ha/atom: -0.167
data_Y2TlPb4
_cell_length_a 9.378
_cell_length_b 9.551
_cell_length_c 6.697
_cell_angle_alpha 90.00
_cell_angle_beta 134.02
_cell_angle_gamma 90.00
_space_group_name_H-M_alt 'C 1 2/m 1'
_space_group_IT_number 12
loop_
_space_group_symop_operation_xyz
'x,y,z'
'-x,-y,-z'
'-x,y,-z'
'x,-y,z'
'x+1/2,y+1/2,z'
'-x+1/2,-y+1/2,-z'
'-x+1/2,y+1/2,-z'
'x+1/2,-y+1/2,z'
loop_
_atom_site_label
_atom_site_type_symbol
_atom_site_fract_x
_atom_site_fract_y
_atom_site_fract_z
_atom_site_occupancy
Y1 Y 0.250 0.250 0.000 1
Tl1 Tl 0.000 0.000 0.500 1
Pb1 Pb 0.000 0.000 0.000 1
Pb2 Pb 0.000 0.500 0.000 1
Pb3 Pb 0.250 0.250 0.500 1

(8)
# Y2Tl2Pb, optimized geometry, DFT PBE
# Calculated volume, Å³ per atom: 32.50
# N(E_F), states/eV/f.u.: 4.86
# Crystal system: tetragonal
# Total DFT energy (no corrections), Ha/atom: -0.154
data_Y2Tl2Pb
_cell_length_a 4.942
_cell_length_b 4.942
_cell_length_c 13.307
_cell_angle_alpha 90.00
_cell_angle_beta 90.00
_cell_angle_gamma 90.00
_space_group_name_H-M_alt 'I 4/m m m'
_space_group_IT_number 139
_space_group_name_Hall '-I 4 2'
loop_
_atom_site_label
_atom_site_type_symbol
_atom_site_fract_x
_atom_site_fract_y
_atom_site_fract_z
_atom_site_occupancy
Y1 Y 0.000 0.500 0.250 1
Tl1 Tl 0.000 0.000 0.105 1
Pb1 Pb 0.000 0.000 0.500 1

(9)
# YTl2Pb5, optimized geometry, DFT PBE
# Calculated volume, Å³ per atom: 30.24
# N(E_F), states/eV/f.u.: 2.95
# Crystal system: tetragonal
# Total DFT energy (no corrections), Ha/atom: -0.140
data_YTl2Pb5
_cell_length_a 8.021
_cell_length_b 8.021
_cell_length_c 7.522
_cell_angle_alpha 90.00
_cell_angle_beta 90.00
_cell_angle_gamma 90.00
_space_group_name_H-M_alt 'I 4/m m m'
_space_group_IT_number 139
_space_group_name_Hall '-I 4 2'
loop_
_atom_site_label
_atom_site_type_symbol
_atom_site_fract_x
_atom_site_fract_y
_atom_site_fract_z
_atom_site_occupancy
Y1 Y 0.000 0.000 0.000 1
Tl1 Tl 0.000 0.500 0.000 1
Pb1 Pb 0.000 0.000 0.500 1
Pb2 Pb 0.250 0.250 0.250 1

(10)
# YTl3Pb, optimized geometry, DFT PBE
# Calculated volume, Å³ per atom: 39.42
# N(E_F), states/eV/f.u.: 3.01
# Crystal system: cubic
# Total DFT energy (no corrections), Ha/atom: -0.107
data_YTl3Pb
_cell_length_a 5.820
_cell_length_b 5.820
_cell_length_c 5.820
_cell_angle_alpha 90.00
_cell_angle_beta 90.00
_cell_angle_gamma 90.00
_space_group_name_H-M_alt 'P m -3 m'
_space_group_IT_number 221
_space_group_name_Hall '-P 4 2 3'
loop_
_atom_site_label
_atom_site_type_symbol
_atom_site_fract_x
_atom_site_fract_y
_atom_site_fract_z
_atom_site_occupancy
Y1 Y 0.000 0.000 0.000 1
Tl1 Tl 0.000 0.500 0.500 1
Pb1 Pb 0.500 0.500 0.500 1

(11)
# YTlPb2, optimized geometry, DFT PBE
# Calculated volume, Å³ per atom: 29.64
# N(E_F), states/eV/f.u.: 2.58
# Crystal system: orthorhombic
# Total DFT energy (no corrections), Ha/atom: -0.153
data_YTlPb2
_cell_length_a 4.932
_cell_length_b 4.945
_cell_length_c 9.720
_cell_angle_alpha 90.00
_cell_angle_beta 90.00
_cell_angle_gamma 90.00
_space_group_name_H-M_alt 'C m m 2'
_space_group_IT_number 35
loop_
_space_group_symop_operation_xyz
'x,y,z'
'-x,-y,z'
'-x,y,z'
'x,-y,z'
'x+1/2,y+1/2,z'
'-x+1/2,-y+1/2,z'
'-x+1/2,y+1/2,z'
'x+1/2,-y+1/2,z'
loop_
_atom_site_label
_atom_site_type_symbol
_atom_site_fract_x
_atom_site_fract_y
_atom_site_fract_z
_atom_site_occupancy
Y1 Y 0.000 0.000 0.000 1
Tl1 Tl 0.000 0.500 0.767 1
Pb1 Pb 0.000 0.000 0.518 1
Pb2 Pb 0.000 0.500 0.243 1

(12)
# Y6Tl4Pb7, optimized geometry, DFT PBE
# Calculated volume, Å³ per atom: 30.18
# N(E_F), states/eV/f.u.: 15.92
# Crystal system: cubic
# Total DFT energy (no corrections), Ha/atom: -0.166
data_Y6Tl4Pb7
_cell_length_a 10.086
_cell_length_b 10.086
_cell_length_c 10.086
_cell_angle_alpha 90.00
_cell_angle_beta 90.00
_cell_angle_gamma 90.00
_space_group_name_H-M_alt 'I m -3 m'
_space_group_IT_number 229
_space_group_name_Hall '-I 4 2 3'
loop_
_atom_site_label
_atom_site_type_symbol
_atom_site_fract_x
_atom_site_fract_y
_atom_site_fract_z
_atom_site_occupancy
Y1 Y 0.000 0.000 0.292 1
Tl1 Tl 0.250 0.250 0.250 1
Pb1 Pb 0.000 0.000 0.000 1
Pb2 Pb 0.000 0.250 0.500 1

(13)
# YTl2Pb2, optimized geometry, DFT PBE
# Calculated volume, Å³ per atom: 32.31
# N(E_F), states/eV/f.u.: 3.08
# Crystal system: tetragonal
# Total DFT energy (no corrections), Ha/atom: -0.137
data_YTl2Pb2
_cell_length_a 4.373
_cell_length_b 4.373
_cell_length_c 16.893
_cell_angle_alpha 90.00
_cell_angle_beta 90.00
_cell_angle_gamma 90.00
_space_group_name_H-M_alt 'I 4/m m m'
_space_group_IT_number 139
_space_group_name_Hall '-I 4 2'
loop_
_atom_site_label
_atom_site_type_symbol
_atom_site_fract_x
_atom_site_fract_y
_atom_site_fract_z
_atom_site_occupancy
Y1 Y 0.000 0.000 0.000 1
Tl1 Tl 0.000 0.500 0.250 1
Pb1 Pb 0.000 0.000 0.410 1

(14)
# YTlPb2, optimized geometry, DFT PBE
# Calculated volume, Å³ per atom: 30.47
# N(E_F), states/eV/f.u.: 1.77
# Crystal system: tetragonal
# Total DFT energy (no corrections), Ha/atom: -0.156
data_YTlPb2
_cell_length_a 3.577
_cell_length_b 3.577
_cell_length_c 9.527
_cell_angle_alpha 90.00
_cell_angle_beta 90.00
_cell_angle_gamma 90.00
_space_group_name_H-M_alt 'P 4/m m m'
_space_group_IT_number 123
_space_group_name_Hall '-P 4 2'
loop_
_atom_site_label
_atom_site_type_symbol
_atom_site_fract_x
_atom_site_fract_y
_atom_site_fract_z
_atom_site_occupancy
Y1 Y 0.000 0.000 0.000 1
Tl1 Tl 0.000 0.000 0.500 1
Pb1 Pb 0.500 0.500 0.235 1

(15)
# YTlPb2, optimized geometry, DFT PBE
# Calculated volume, Å³ per atom: 29.19
# N(E_F), states/eV/f.u.: 2.72
# Crystal system: orthorhombic
# Total DFT energy (no corrections), Ha/atom: -0.156
data_YTlPb2
_cell_length_a 3.755
_cell_length_b 4.557
_cell_length_c 6.825
_cell_angle_alpha 90.00
_cell_angle_beta 90.00
_cell_angle_gamma 90.00
_space_group_name_H-M_alt 'P m m 2'
_space_group_IT_number 25
loop_
_space_group_symop_operation_xyz
'x,y,z'
'-x,-y,z'
'-x,y,z'
'x,-y,z'
loop_
_atom_site_label
_atom_site_type_symbol
_atom_site_fract_x
_atom_site_fract_y
_atom_site_fract_z
_atom_site_occupancy
Y1 Y 0.000 0.000 0.000 1
Tl1 Tl 0.500 0.500 0.750 1
Pb1 Pb 0.000 0.000 0.502 1
Pb2 Pb 0.500 0.500 0.237 1

(16)
# YTl2Pb2, optimized geometry, DFT PBE
# Calculated volume, Å³ per atom: 30.70
# N(E_F), states/eV/f.u.: 2.65
# Crystal system: tetragonal
# Total DFT energy (no corrections), Ha/atom: -0.136
data_YTl2Pb2
_cell_length_a 8.745
_cell_length_b 8.745
_cell_length_c 4.014
_cell_angle_alpha 90.00
_cell_angle_beta 90.00
_cell_angle_gamma 90.00
_space_group_name_H-M_alt 'P 4/m b m'
_space_group_IT_number 127
_space_group_name_Hall '-P 4 2ab'
loop_
_atom_site_label
_atom_site_type_symbol
_atom_site_fract_x
_atom_site_fract_y
_atom_site_fract_z
_atom_site_occupancy
Y1 Y 0.000 0.000 0.000 1
Tl1 Tl 0.163 0.337 0.500 1
Pb1 Pb 0.136 0.636 0.000 1

(17)
# Y4TlPb2, optimized geometry, DFT PBE
# Calculated volume, Å³ per atom: 30.12
# N(E_F), states/eV/f.u.: 6.30
# Crystal system: monoclinic
# Total DFT energy (no corrections), Ha/atom: -0.199
data_Y4TlPb2
_cell_length_a 6.170
_cell_length_b 6.754
_cell_length_c 10.435
_cell_angle_alpha 90.00
_cell_angle_beta 104.14
_cell_angle_gamma 90.00
_space_group_name_H-M_alt 'P 1 21/m 1'
_space_group_IT_number 11
loop_
_space_group_symop_operation_xyz
'x,y,z'
'-x,-y,-z'
'-x,y+1/2,-z'
'x,-y+1/2,z'
loop_
_atom_site_label
_atom_site_type_symbol
_atom_site_fract_x
_atom_site_fract_y
_atom_site_fract_z
_atom_site_occupancy
Y1 Y 0.019 0.004 0.263 1
Y2 Y 0.362 0.750 0.538 1
Y3 Y 0.470 0.750 0.157 1
Tl1 Tl 0.437 0.750 0.839 1
Pb1 Pb 0.085 0.250 0.002 1
Pb2 Pb 0.191 0.250 0.539 1

(18)
# YTlPb2, optimized geometry, DFT PBE
# Calculated volume, Å³ per atom: 29.24
# N(E_F), states/eV/f.u.: 2.59
# Crystal system: orthorhombic
# Total DFT energy (no corrections), Ha/atom: -0.158
data_YTlPb2
_cell_length_a 6.962
_cell_length_b 9.400
_cell_length_c 3.574
_cell_angle_alpha 90.00
_cell_angle_beta 90.00
_cell_angle_gamma 90.00
_space_group_name_H-M_alt 'C m m m'
_space_group_IT_number 65
_space_group_name_Hall '-C 2 2'
loop_
_atom_site_label
_atom_site_type_symbol
_atom_site_fract_x
_atom_site_fract_y
_atom_site_fract_z
_atom_site_occupancy
Y1 Y 0.000 0.000 0.000 1
Tl1 Tl 0.000 0.500 0.000 1
Pb1 Pb 0.250 0.250 0.500 1

(19)
# Y2Tl5Pb, optimized geometry, DFT PBE
# Calculated volume, Å³ per atom: 28.48
# N(E_F), states/eV/f.u.: 3.86
# Crystal system: orthorhombic
# Total DFT energy (no corrections), Ha/atom: -0.138
data_Y2Tl5Pb
_cell_length_a 9.155
_cell_length_b 13.488
_cell_length_c 3.691
_cell_angle_alpha 90.00
_cell_angle_beta 90.00
_cell_angle_gamma 90.00
_space_group_name_H-M_alt 'P b a m'
_space_group_IT_number 55
loop_
_space_group_symop_operation_xyz
'x,y,z'
'-x,-y,-z'
'-x,-y,z'
'x,y,-z'
'x+1/2,-y+1/2,-z'
'-x+1/2,y+1/2,z'
'-x+1/2,y+1/2,-z'
'x+1/2,-y+1/2,z'
loop_
_atom_site_label
_atom_site_type_symbol
_atom_site_fract_x
_atom_site_fract_y
_atom_site_fract_z
_atom_site_occupancy
Y1 Y 0.248 0.123 0.000 1
Tl1 Tl 0.000 0.500 0.500 1
Tl2 Tl 0.002 0.748 0.500 1
Tl3 Tl 0.248 0.372 0.000 1
Pb1 Pb 0.000 0.000 0.500 1

(20)
# Y5TlPb4, optimized geometry, DFT PBE
# Calculated volume, Å³ per atom: 31.03
# N(E_F), states/eV/f.u.: 8.08
# Crystal system: tetragonal
# Total DFT energy (no corrections), Ha/atom: -0.194
data_Y5TlPb4
_cell_length_a 9.884
_cell_length_b 9.884
_cell_length_c 6.352
_cell_angle_alpha 90.00
_cell_angle_beta 90.00
_cell_angle_gamma 90.00
_space_group_name_H-M_alt 'I 4'
_space_group_IT_number 79
loop_
_space_group_symop_operation_xyz
'x,y,z'
'-y,x,z'
'-x,-y,z'
'y,-x,z'
'x+1/2,y+1/2,z+1/2'
'-y+1/2,x+1/2,z+1/2'
'-x+1/2,-y+1/2,z+1/2'
'y+1/2,-x+1/2,z+1/2'
loop_
_atom_site_label
_atom_site_type_symbol
_atom_site_fract_x
_atom_site_fract_y
_atom_site_fract_z
_atom_site_occupancy
Y1 Y 0.000 0.000 0.000 1
Y2 Y 0.097 0.316 0.662 1
Tl1 Tl 0.000 0.000 0.489 1
Pb1 Pb 0.107 0.287 0.163 1